Entry 1:
20
Lattice="6.377 -6.258 0.000 6.377 6.258 0.000 -2.944 0.000 5.825" Properties=species:S:1:pos:R:3 comment="AgGe2BS6 (GGA-PBE, relaxed)" sg="C2/c, No. 15" formation_energy_uncorrected_mev_per_atom=-160 pbc="T T T"
Ag 4.169 4.915 4.369
Ag 5.641 -4.915 1.456
Ge 1.270 1.120 5.032
Ge 2.742 -1.120 2.119
Ge 7.068 1.120 3.706
Ge 8.540 -1.120 0.793
B 5.641 3.755 1.456
B 4.169 -3.755 4.369
S 4.204 5.033 1.869
S 2.561 2.925 5.570
S 7.078 5.033 1.044
S 2.757 0.770 3.316
S 5.777 2.925 3.167
S 4.229 -0.770 0.404
S 5.581 0.770 5.421
S 4.033 -2.925 2.658
S 7.053 -0.770 2.509
S 2.732 -5.033 4.781
S 7.249 -2.925 0.255
S 5.606 -5.033 3.956

=====

Entry 2:
5
Lattice="5.123 0.000 0.000 0.000 5.123 0.000 0.000 0.000 3.718" Properties=species:S:1:pos:R:3 comment="Ag2GeBS (GGA-PBE, relaxed)" sg="P4/mmm, No. 123" formation_energy_uncorrected_mev_per_atom=957 dos_at_fermi_per_ev_atom=0.7502 pbc="T T T"
Ag 0.000 2.562 0.000
Ag 2.562 0.000 0.000
Ge 0.000 0.000 0.000
B 0.000 0.000 1.859
S 2.562 2.562 1.859

=====

| no. | E (eV per atom) | density (Mg/m³) |
| --- | --- | --- |
| 1 | -4.51 | 3.26 |
| 2 | -3.27 | 5.64 |